## ZrCr2ReO8 (GGA+U)

Data for a relaxed ZrCr2ReO8 crystal.

Summary:
calculated total energy: -8.402 eV per atom
total magnetic moment: 7.01 μB per formula unit
symmetry: Cmmm (65)
V: 11.458 A^3/atom

Lattice parameters (Å, degrees): 4.697 4.694 6.236 90.00 90.00 90.92
Fractional positions:
Zr: 0.000 0.000 0.500
Cr: 0.500 0.500 0.750
Cr: 0.500 0.500 0.250
Re: 0.000 0.000 0.000
O: 0.197 0.803 0.230
O: 0.709 0.709 0.000
O: 0.803 0.197 0.230
O: 0.803 0.197 0.770
O: 0.291 0.291 0.000
O: 0.197 0.803 0.770
O: 0.688 0.688 0.500
O: 0.312 0.312 0.500